No. 1
# KTcO3

KTcO3 after structural relaxation (GGA-PBE, Alexandria via LeMat-Bulk).

The space group is Fd-3m (No. 227, origin choice 2) and the conventional cell measures 10.5005, 10.5005 and 10.5005 Å, with angles of 90.00, 90.00 and 90.00 degrees. Symmetry generates all atoms from K at (0.0000, 0.0000, 0.0000), Tc at (0.0000, 0.0000, 0.5000) and O at (0.0636, 0.3750, 0.8750).

The density of states at the Fermi level comes out at 0.44 states/eV per atom. Its formation energy from raw total energies is -1492 meV/atom. Its crystal system is cubic.

---

No. 2
# H2PtCl

H2PtCl after structural relaxation (GGA-PBE, Alexandria via LeMat-Bulk).

The space group is Fm-3m (No. 225) and the conventional cell measures 5.4921, 5.4921 and 5.4921 Å, with angles of 90.00, 90.00 and 90.00 degrees. Symmetry generates all atoms from H at (0.2500, 0.2500, 0.2500), Pt at (0.0000, 0.0000, 0.0000) and Cl at (0.0000, 0.0000, 0.5000).

The calculation puts the distance to the lowest polymorph of the same formula at 952 meV/atom. The density of states at the Fermi level comes out at 0.67 states/eV per atom. Its crystal system is cubic.

---

No. 3
# Er3MgH

Er3MgH after structural relaxation (GGA-PBE, Alexandria via LeMat-Bulk).

The space group is Pm-3m (No. 221) and the conventional cell measures 4.8544, 4.8544 and 4.8544 Å, with angles of 90.00, 90.00 and 90.00 degrees. Symmetry generates all atoms from Er at (0.0000, 0.0000, 0.5000), Mg at (0.5000, 0.5000, 0.5000) and H at (0.0000, 0.0000, 0.0000).

The density of states at the Fermi level comes out at 1.53 states/eV per atom. Its crystal system is cubic. The value obtained for the total energy is -19.3 eV per cell.

---

No. 4
# Cs2BaI

Cs2BaI after structural relaxation (GGA-PBE, Alexandria via LeMat-Bulk).

The space group is R-3m (No. 166, hexagonal axes) and the conventional cell measures 4.8944, 4.8944 and 42.6239 Å, with angles of 90.00, 90.00 and 120.00 degrees. Symmetry generates all atoms from Cs at (0.0000, 0.0000, 0.1065), Ba at (0.0000, 0.0000, 0.0000) and I at (0.0000, 0.0000, 0.5000).

The density of states at the Fermi level comes out at 0.68 states/eV per atom. Its formation energy from raw total energies is -590 meV/atom. Its crystal system is trigonal.

---

No. 5
# ZnRe2Au

ZnRe2Au after structural relaxation (GGA-PBE, Alexandria via LeMat-Bulk).

The space group is P4/mmm (No. 123) and the conventional cell measures 3.7515, 3.7515 and 4.4013 Å, with angles of 90.00, 90.00 and 90.00 degrees. Symmetry generates all atoms from Zn at (0.0000, 0.0000, 0.0000), Re at (0.0000, 0.5000, 0.5000) and Au at (0.5000, 0.5000, 0.0000).

The density of states at the Fermi level comes out at 1.02 states/eV per atom. For the formation energy, the calculation gives 473 meV/atom. Its crystal system is tetragonal.

---

No. 6
# Pm4Y7Pu

Pm4Y7Pu after structural relaxation (GGA-PBE, Alexandria via LeMat-Bulk).

The space group is C2/m (No. 12) and the conventional cell measures 18.3850, 5.3341 and 8.1550 Å, with angles of 90.00, 105.80 and 90.00 degrees. Symmetry generates all atoms from Pm at (0.0899, 0.0000, 0.4374), Pm at (0.2266, 0.5000, 0.6356), Y at (0.0000, 0.0000, 0.0000), Y at (0.0463, 0.5000, 0.7172), Y at (0.1471, 0.5000, 0.1853), Y at (0.1744, 0.0000, 0.9082) and Pu at (0.0000, 0.5000, 0.0000).

The density of states at the Fermi level comes out at 2.31 states/eV per atom. For the formation energy, the calculation gives 370 meV/atom. Its crystal system is monoclinic.

---

No. 7
# Mg2CdReN4

Mg2CdReN4 after structural relaxation (GGA-PBE, Alexandria via LeMat-Bulk).

The space group is I-42m (No. 121) and the conventional cell measures 5.0943, 5.0943 and 8.6870 Å, with angles of 90.00, 90.00 and 90.00 degrees. Symmetry generates all atoms from Mg at (0.0000, 0.5000, 0.2500), Cd at (0.0000, 0.0000, 0.0000), Re at (0.0000, 0.0000, 0.5000) and N at (0.2112, 0.2112, 0.3768).

The density of states at the Fermi level comes out at 0.21 states/eV per atom. Its formation energy from raw total energies is -341 meV/atom. Its crystal system is tetragonal.

---

No. 8
# ErPuInAu

ErPuInAu after structural relaxation (GGA-PBE, Alexandria via LeMat-Bulk).

The space group is F-43m (No. 216) and the conventional cell measures 7.3981, 7.3981 and 7.3981 Å, with angles of 90.00, 90.00 and 90.00 degrees. Symmetry generates all atoms from Er at (0.0000, 0.0000, 0.0000), Pu at (0.0000, 0.0000, 0.5000), In at (0.2500, 0.2500, 0.2500) and Au at (0.2500, 0.2500, 0.7500).

The density of states at the Fermi level comes out at 2.40 states/eV per atom. For the formation energy, the calculation gives -381 meV/atom. Its crystal system is cubic.

---

No. 9
# Y3SeBr

Y3SeBr after structural relaxation (GGA-PBE, Alexandria via LeMat-Bulk).

The space group is Pm-3m (No. 221) and the conventional cell measures 5.4447, 5.4447 and 5.4447 Å, with angles of 90.00, 90.00 and 90.00 degrees. Symmetry generates all atoms from Y at (0.0000, 0.0000, 0.5000), Se at (0.0000, 0.0000, 0.0000) and Br at (0.5000, 0.5000, 0.5000).

The calculation puts the distance to the lowest polymorph of the same formula at 0 meV/atom. The density of states at the Fermi level comes out at 1.29 states/eV per atom. Its formation energy from raw total energies is -380 meV/atom. Its crystal system is cubic.

---

No. 10
# AcAg2Pb

AcAg2Pb after structural relaxation (GGA-PBE, Alexandria via LeMat-Bulk).

The space group is Cmcm (No. 63) and the conventional cell measures 4.8850, 11.8861 and 7.4223 Å, with angles of 90.00, 90.00 and 90.00 degrees. Symmetry generates all atoms from Ac at (0.0000, 0.0847, 0.2500), Ag at (0.0000, 0.3867, 0.0591) and Pb at (0.0000, 0.2088, 0.7500).

The density of states at the Fermi level comes out at 0.71 states/eV per atom. For the formation energy, the calculation gives -302 meV/atom. Its crystal system is orthorhombic.

---

No. 11
# TaGeTeI2

TaGeTeI2 after structural relaxation (GGA-PBE, Alexandria via LeMat-Bulk).

The space group is P4/mmm (No. 123) and the conventional cell measures 5.4883, 5.4883 and 5.5954 Å, with angles of 90.00, 90.00 and 90.00 degrees. Symmetry generates all atoms from Ta at (0.0000, 0.0000, 0.0000), Ge at (0.5000, 0.5000, 0.5000), Te at (0.5000, 0.5000, 0.0000) and I at (0.0000, 0.5000, 0.5000).

The calculation puts the distance to the lowest polymorph of the same formula at 601 meV/atom. The density of states at the Fermi level comes out at 1.17 states/eV per atom. Its formation energy from raw total energies is 1157 meV/atom. Its crystal system is tetragonal.

---

No. 12
# Ta3Be11

Ta3Be11 after structural relaxation (GGA-PBE, Alexandria via LeMat-Bulk).

The space group is Immm (No. 71) and the conventional cell measures 3.4803, 7.9144 and 10.3032 Å, with angles of 90.00, 90.00 and 90.00 degrees. Symmetry generates all atoms from Ta at (0.0000, 0.0000, 0.0000), Ta at (0.0000, 0.0000, 0.3059), Be at (0.0000, 0.2120, 0.5000), Be at (0.0000, 0.2757, 0.1323), Be at (0.0000, 0.3636, 0.3381) and Be at (0.0000, 0.5000, 0.0000).

The density of states at the Fermi level comes out at 0.30 states/eV per atom. For the formation energy, the calculation gives -196 meV/atom. Its crystal system is orthorhombic.

---

No. 13
# AlIn

AlIn after structural relaxation (GGA-PBE, Alexandria via LeMat-Bulk).

The space group is C2/m (No. 12) and the conventional cell measures 11.1218, 3.1234 and 5.5302 Å, with angles of 90.00, 112.76 and 90.00 degrees. Symmetry generates all atoms from Al at (0.1507, 0.0000, 0.3238) and In at (0.1044, 0.5000, 0.8116).

The density of states at the Fermi level comes out at 0.39 states/eV per atom. For the formation energy, the calculation gives 158 meV/atom. Its crystal system is monoclinic.

---

No. 14
# Cd2InSnHg2

Cd2InSnHg2 after structural relaxation (GGA-PBE, Alexandria via LeMat-Bulk).

The space group is Cmc2_1 (No. 36) and the conventional cell measures 10.0829, 6.3125 and 9.6589 Å, with angles of 90.00, 90.00 and 90.00 degrees. Symmetry generates all atoms from Cd at (0.1621, 0.1985, 0.0000), In at (0.0000, 0.3239, 0.4984), Sn at (0.0000, 0.0018, 0.7495) and Hg at (0.1752, 0.4989, 0.7494).

The density of states at the Fermi level comes out at 0.43 states/eV per atom. For the formation energy, the calculation gives 50 meV/atom. Its crystal system is orthorhombic.

---

No. 15
# IrS2NCl

IrS2NCl after structural relaxation (GGA-PBE, Alexandria via LeMat-Bulk).

The space group is P4/mmm (No. 123) and the conventional cell measures 4.8893, 4.8893 and 3.6808 Å, with angles of 90.00, 90.00 and 90.00 degrees. Symmetry generates all atoms from Ir at (0.0000, 0.0000, 0.0000), S at (0.0000, 0.5000, 0.0000), N at (0.0000, 0.0000, 0.5000) and Cl at (0.5000, 0.5000, 0.5000).

The calculation puts the distance to the lowest polymorph of the same formula at 0 meV/atom. The density of states at the Fermi level comes out at 1.13 states/eV per atom. Its formation energy from raw total energies is 756 meV/atom. Its crystal system is tetragonal.

---

No. 16
# Te2Se

Te2Se after structural relaxation (GGA-PBE, Alexandria via LeMat-Bulk).

The space group is I4/mmm (No. 139) and the conventional cell measures 3.7418, 3.7418 and 11.0194 Å, with angles of 90.00, 90.00 and 90.00 degrees. Symmetry generates all atoms from Te at (0.0000, 0.0000, 0.1668) and Se at (0.0000, 0.0000, 0.5000).

The calculation puts the distance to the lowest polymorph of the same formula at 320 meV/atom. The density of states at the Fermi level comes out at 0.83 states/eV per atom. Its formation energy from raw total energies is 362 meV/atom. Its crystal system is tetragonal.